# Cd2SbPb | Alexandria via LeMat-Bulk | SCAN | PBEsol geometry
data_Cd2SbPb
_chemical_formula_sum 'Cd2 Sb1 Pb1'
_symmetry_space_group_name_H-M 'P m m m'
_symmetry_Int_Tables_number 47
_symmetry_space_group_name_Hall '-P 2 2'
_cell_length_a 4.331
_cell_length_b 4.617
_cell_length_c 5.065
_cell_angle_alpha 90.00
_cell_angle_beta 90.00
_cell_angle_gamma 90.00
loop_
_atom_site_label
_atom_site_fract_x
_atom_site_fract_y
_atom_site_fract_z
_atom_site_occupancy
Cd1 0.000 0.000 0.000 1
Cd2 0.500 0.000 0.500 1
Sb1 0.000 0.500 0.500 1
Pb1 0.500 0.500 0.000 1
# Uncorrected formation energy, meV/atom: 106
# Offset from the most stable computed form, meV per atom: 52.0

---

# Ti2HIrCl | Alexandria via LeMat-Bulk | SCAN | PBEsol geometry
data_Ti2HIrCl
_chemical_formula_sum 'Ti2 H1 Ir1 Cl1'
_symmetry_space_group_name_H-M 'P 4/m m m'
_symmetry_Int_Tables_number 123
_symmetry_space_group_name_Hall '-P 4 2'
_cell_length_a 4.370
_cell_length_b 4.370
_cell_length_c 4.317
_cell_angle_alpha 90.00
_cell_angle_beta 90.00
_cell_angle_gamma 90.00
loop_
_atom_site_label
_atom_site_fract_x
_atom_site_fract_y
_atom_site_fract_z
_atom_site_occupancy
Ti1 0.000 0.500 0.000 1
H1 0.000 0.000 0.500 1
Ir1 0.500 0.500 0.500 1
Cl1 0.500 0.500 0.000 1
# DFT total energy, eV/atom: -21.89

---

# K2SbPt | Alexandria via LeMat-Bulk | SCAN | PBEsol geometry
data_K2SbPt
_chemical_formula_sum 'K4 Sb2 Pt2'
_symmetry_space_group_name_H-M 'I m m 2'
_symmetry_Int_Tables_number 44
_symmetry_space_group_name_Hall 'I 2 -2'
_cell_length_a 4.423
_cell_length_b 5.724
_cell_length_c 10.085
_cell_angle_alpha 90.00
_cell_angle_beta 90.00
_cell_angle_gamma 90.00
loop_
_atom_site_label
_atom_site_fract_x
_atom_site_fract_y
_atom_site_fract_z
_atom_site_occupancy
K1 0.000 0.000 0.000 1
K2 0.000 0.500 0.193 1
Sb1 0.000 0.000 0.407 1
Pt1 0.000 0.500 0.790 1
# Uncorrected formation energy, meV/atom: -462

---

# Mg4Nb2O9 | Alexandria via LeMat-Bulk | SCAN | PBEsol geometry
data_Mg4Nb2O9
_chemical_formula_sum 'Mg8 Nb4 O18'
_symmetry_space_group_name_H-M 'P -3 c 1'
_symmetry_Int_Tables_number 165
_symmetry_space_group_name_Hall '-P 3 2"c'
_cell_length_a 5.1809
_cell_length_b 5.1809
_cell_length_c 14.0433
_cell_angle_alpha 90.00
_cell_angle_beta 90.00
_cell_angle_gamma 120.00
loop_
_atom_site_label
_atom_site_fract_x
_atom_site_fract_y
_atom_site_fract_z
_atom_site_occupancy
Mg1 0.3333 0.6667 0.1916 1
Mg2 0.3333 0.6667 0.4832 1
Nb1 0.0000 0.0000 0.1418 1
O1 0.0000 0.2899 0.2500 1
O2 0.0295 0.3493 0.5844 1
# Uncorrected formation energy, meV/atom: -2949

---

# AlFe4W | Alexandria via LeMat-Bulk | SCAN | PBEsol geometry
data_AlFe4W
_chemical_formula_sum 'Al4 Fe16 W4'
_symmetry_space_group_name_H-M 'F -4 3 m'
_symmetry_Int_Tables_number 216
_symmetry_space_group_name_Hall 'F -4 2 3'
_cell_length_a 6.571
_cell_length_b 6.571
_cell_length_c 6.571
_cell_angle_alpha 90.00
_cell_angle_beta 90.00
_cell_angle_gamma 90.00
loop_
_atom_site_label
_atom_site_fract_x
_atom_site_fract_y
_atom_site_fract_z
_atom_site_occupancy
Al1 0.000 0.000 0.000 1
Fe1 0.125 0.125 0.375 1
W1 0.250 0.250 0.750 1
# DFT formation energy, eV/atom: -0.052

---

# Li2Mn3WO8 | Alexandria via LeMat-Bulk | SCAN | PBEsol geometry
data_Li2Mn3WO8
_chemical_formula_sum 'Li8 Mn12 W4 O32'
_symmetry_space_group_name_H-M 'P 21 21 21'
_symmetry_Int_Tables_number 19
_symmetry_space_group_name_Hall 'P 2ac 2ab'
_cell_length_a 8.271
_cell_length_b 8.350
_cell_length_c 8.910
_cell_angle_alpha 90.00
_cell_angle_beta 90.00
_cell_angle_gamma 90.00
loop_
_atom_site_label
_atom_site_fract_x
_atom_site_fract_y
_atom_site_fract_z
_atom_site_occupancy
Li1 0.002 0.005 0.005 1
Li2 0.236 0.749 0.748 1
Mn1 0.112 0.379 0.877 1
Mn2 0.122 0.131 0.626 1
Mn3 0.148 0.883 0.382 1
W1 0.125 0.618 0.137 1
O1 0.100 0.133 0.366 1
O2 0.110 0.616 0.904 1
O3 0.114 0.155 0.866 1
O4 0.116 0.901 0.611 1
O5 0.124 0.394 0.122 1
O6 0.141 0.363 0.617 1
O7 0.147 0.857 0.135 1
O8 0.148 0.622 0.350 1
# Uncorrected formation energy, meV/atom: -2187
# Offset from the most stable computed form, meV per atom: 30.1

---

# CrNi3 | Alexandria via LeMat-Bulk | SCAN | PBEsol geometry
data_CrNi3
_chemical_formula_sum 'Cr2 Ni6'
_symmetry_space_group_name_H-M 'P m m n'
_symmetry_Int_Tables_number 59
_cell_length_a 4.025
_cell_length_b 4.842
_cell_length_c 4.278
_cell_angle_alpha 90.00
_cell_angle_beta 90.00
_cell_angle_gamma 90.00
loop_
_symmetry_equiv_pos_as_xyz
'x,y,z'
'-x,-y,-z'
'-x+1/2,-y+1/2,z'
'x+1/2,y+1/2,-z'
'x+1/2,-y,-z'
'-x+1/2,y,z'
'-x,y+1/2,-z'
'x,-y+1/2,z'
loop_
_atom_site_label
_atom_site_fract_x
_atom_site_fract_y
_atom_site_fract_z
_atom_site_occupancy
Cr1 0.250 0.250 0.158 1
Ni1 0.250 0.000 0.662 1
Ni2 0.250 0.750 0.158 1
# DFT formation energy, eV/atom: 0.023

---

# MgAl2Cd | Alexandria via LeMat-Bulk | SCAN | PBEsol geometry
data_MgAl2Cd
_chemical_formula_sum 'Mg3 Al6 Cd3'
_symmetry_space_group_name_H-M 'R 3 m'
_symmetry_Int_Tables_number 160
_symmetry_space_group_name_Hall 'R 3 -2"'
_cell_length_a 3.0659
_cell_length_b 3.0659
_cell_length_c 27.9231
_cell_angle_alpha 90.00
_cell_angle_beta 90.00
_cell_angle_gamma 120.00
loop_
_atom_site_label
_atom_site_fract_x
_atom_site_fract_y
_atom_site_fract_z
_atom_site_occupancy
Mg1 0.0000 0.0000 0.0000 1
Al1 0.0000 0.0000 0.4946 1
Al2 0.0000 0.0000 0.7512 1
Cd1 0.0000 0.0000 0.2454 1
# DFT formation energy, eV/atom: 0.028

---

# K2Na2Hg | Alexandria via LeMat-Bulk | SCAN | PBEsol geometry
data_K2Na2Hg
_chemical_formula_sum 'K4 Na4 Hg2'
_symmetry_space_group_name_H-M 'I 4/m m m'
_symmetry_Int_Tables_number 139
_symmetry_space_group_name_Hall '-I 4 2'
_cell_length_a 4.462
_cell_length_b 4.462
_cell_length_c 21.600
_cell_angle_alpha 90.00
_cell_angle_beta 90.00
_cell_angle_gamma 90.00
loop_
_atom_site_label
_atom_site_fract_x
_atom_site_fract_y
_atom_site_fract_z
_atom_site_occupancy
K1 0.000 0.000 0.090 1
Na1 0.000 0.500 0.250 1
Hg1 0.000 0.000 0.500 1
# Offset from the most stable computed form, meV per atom: 39.9
# DFT formation energy, eV/atom: -0.034

---

# Sr2MnGaO5 | Alexandria via LeMat-Bulk | SCAN | PBEsol geometry
data_Sr2MnGaO5
_chemical_formula_sum 'Sr8 Mn4 Ga4 O20'
_symmetry_space_group_name_H-M 'I m a 2'
_symmetry_Int_Tables_number 46
_symmetry_space_group_name_Hall 'I 2 -2a'
_cell_length_a 15.719
_cell_length_b 5.588
_cell_length_c 5.406
_cell_angle_alpha 90.00
_cell_angle_beta 90.00
_cell_angle_gamma 90.00
loop_
_atom_site_label
_atom_site_fract_x
_atom_site_fract_y
_atom_site_fract_z
_atom_site_occupancy
Sr1 0.110 0.016 0.000 1
Mn1 0.000 0.000 0.496 1
Ga1 0.250 0.570 0.035 1
O1 0.006 0.747 0.248 1
O2 0.142 0.048 0.478 1
O3 0.250 0.629 0.379 1
# Uncorrected formation energy, meV/atom: -2644
# Offset from the most stable computed form, meV per atom: 0.0

---

# MgReAu | Alexandria via LeMat-Bulk | SCAN | PBEsol geometry
data_MgReAu
_chemical_formula_sum 'Mg1 Re1 Au1'
_symmetry_space_group_name_H-M 'P 3 m 1'
_symmetry_Int_Tables_number 156
_symmetry_space_group_name_Hall 'P 3 -2"'
_cell_length_a 2.8078
_cell_length_b 2.8078
_cell_length_c 7.0053
_cell_angle_alpha 90.00
_cell_angle_beta 90.00
_cell_angle_gamma 120.00
loop_
_atom_site_label
_atom_site_fract_x
_atom_site_fract_y
_atom_site_fract_z
_atom_site_occupancy
Mg1 0.0000 0.0000 0.0000 1
Re1 0.3333 0.6667 0.6696 1
Au1 0.6667 0.3333 0.3321 1
# Offset from the most stable computed form, meV per atom: 0.0
# DFT formation energy, eV/atom: 0.158

---

# LaAlSCl2 | Alexandria via LeMat-Bulk | SCAN | PBEsol geometry
data_LaAlSCl2
_chemical_formula_sum 'La1 Al1 S1 Cl2'
_symmetry_space_group_name_H-M 'P 4/m m m'
_symmetry_Int_Tables_number 123
_symmetry_space_group_name_Hall '-P 4 2'
_cell_length_a 5.484
_cell_length_b 5.484
_cell_length_c 5.479
_cell_angle_alpha 90.00
_cell_angle_beta 90.00
_cell_angle_gamma 90.00
loop_
_atom_site_label
_atom_site_fract_x
_atom_site_fract_y
_atom_site_fract_z
_atom_site_occupancy
La1 0.000 0.000 0.000 1
Al1 0.500 0.500 0.500 1
S1 0.000 0.000 0.500 1
Cl1 0.000 0.500 0.000 1
# Uncorrected formation energy, meV/atom: -1390